DFT (PBE) results for a relaxed structure of KHg2PdF8.

POSCAR file:
```
KHg2PdF8
1.0
4.860 0.000 0.000
-0.141 5.552 0.000
-0.153 -0.731 7.474
K Hg Pd F
1 2 1 8
Direct
0.000 0.000 0.000
0.472 0.483 0.744
0.528 0.517 0.256
0.000 0.000 0.500
0.096 0.762 0.293
0.113 0.784 0.682
0.378 0.244 0.510
0.459 0.264 0.030
0.541 0.736 0.970
0.622 0.756 0.490
0.887 0.216 0.318
0.904 0.238 0.707
```

Summary:
Energy = -0.1261 hartree per atom
Spin magnetization = 1.0 Bohr magnetons per cell
Space group = No. 2
Theoretical density = 5.752 g/cm³

DFT (PBE) results for a relaxed structure of Tb5SmTm2.

POSCAR file:
```
Tb5SmTm2
1.0
7.104 0.000 0.000
0.000 14.208 0.000
0.000 0.000 5.011
Tb Sm Tm
10 2 4
Direct
0.000 0.000 0.000
0.001 0.249 0.000
0.249 0.875 0.500
0.251 0.375 0.500
0.499 0.749 0.000
0.500 0.500 0.000
0.501 0.251 0.000
0.749 0.625 0.500
0.751 0.125 0.500
0.999 0.751 0.000
0.000 0.500 0.000
0.500 0.000 0.000
0.249 0.625 0.500
0.251 0.125 0.500
0.749 0.875 0.500
0.751 0.375 0.500
```

Summary:
Energy = -0.1685 hartree per atom
Energy relative to the elements = 0.017 eV per atom
Spin magnetization = 0.0 Bohr magnetons per cell
Space group = No. 55
Theoretical density = 8.423 g/cm³

DFT (PBE) results for a relaxed structure of HfZrCdPd.

POSCAR file:
```
HfZrCdPd
1.0
3.340 0.000 0.000
0.000 3.340 0.000
0.000 0.000 7.232
Hf Zr Cd Pd
1 1 1 1
Direct
0.000 0.000 0.000
0.500 0.500 0.721
0.000 0.000 0.443
0.500 0.500 0.208
```

Summary:
Energy = -0.2412 hartree per atom
Energy relative to the elements = -0.411 eV per atom
Spin magnetization = 0.0 Bohr magnetons per cell
Space group = No. 99
Theoretical density = 10.054 g/cm³

DFT (PBE) results for a relaxed structure of Ga2SiPdW.

POSCAR file:
```
Ga2SiPdW
1.0
4.648 0.000 0.000
0.000 4.648 0.000
0.000 0.000 4.486
Ga Si Pd W
2 1 1 1
Direct
0.000 0.500 0.000
0.500 0.000 0.000
0.000 0.000 0.000
0.000 0.000 0.500
0.500 0.500 0.500
```

Summary:
Energy = -0.1772 hartree per atom
Spin magnetization = 2.9 Bohr magnetons per cell
Space group = No. 123
Theoretical density = 7.846 g/cm³

DFT (PBE) results for a relaxed structure of CdIn4Bi3.

POSCAR file:
```
CdIn4Bi3
1.0
12.888 -2.732 0.000
12.888 2.732 0.000
-0.304 0.000 3.432
Cd In Bi
1 4 3
Direct
0.000 0.000 0.000
0.097 0.097 0.565
0.212 0.212 0.181
0.788 0.788 0.819
0.903 0.903 0.435
0.338 0.338 0.369
0.500 0.500 0.500
0.662 0.662 0.631
```

Summary:
Energy = -0.1053 hartree per atom
Energy relative to the elements = 0.074 eV per atom
Spin magnetization = 0.0 Bohr magnetons per cell
Space group = No. 12
Theoretical density = 8.235 g/cm³

DFT (PBE) results for a relaxed structure of LiCo2Ni9.

POSCAR file:
```
LiCo2Ni9
1.0
3.524 0.000 0.000
0.000 3.524 0.000
0.000 0.000 10.546
Li Co Ni
1 2 9
Direct
0.000 0.000 0.000
0.000 0.000 0.330
0.000 0.000 0.670
0.000 0.500 0.169
0.000 0.500 0.500
0.000 0.500 0.831
0.500 0.000 0.169
0.500 0.000 0.500
0.500 0.000 0.831
0.500 0.500 0.000
0.500 0.500 0.334
0.500 0.500 0.666
```

Summary:
Energy = -0.2084 hartree per atom
Energy relative to the elements = 0.008 eV per atom
Spin magnetization = 9.5 Bohr magnetons per cell
Space group = No. 123
Theoretical density = 8.282 g/cm³

DFT (PBE) results for a relaxed structure of LaSm2Dy3.

POSCAR file:
```
LaSm2Dy3
1.0
4.521 -4.959 0.000
4.521 4.959 0.000
-1.846 0.000 8.857
La Sm Dy
2 4 6
Direct
0.087 0.913 0.750
0.913 0.087 0.250
0.131 0.623 0.374
0.377 0.869 0.126
0.623 0.131 0.874
0.869 0.377 0.626
0.164 0.334 0.999
0.334 0.164 0.499
0.421 0.579 0.750
0.579 0.421 0.250
0.666 0.836 0.501
0.836 0.666 0.001
```

Summary:
Energy = -0.1700 hartree per atom
Energy relative to the elements = 0.070 eV per atom
Spin magnetization = 0.0 Bohr magnetons per cell
Space group = No. 15
Theoretical density = 7.754 g/cm³

DFT (PBE) results for a relaxed structure of LiPdI.

POSCAR file:
```
LiPdI
1.0
4.550 0.000 0.000
2.054 4.313 0.000
2.121 1.054 7.068
Li Pd I
2 2 2
Direct
0.000 0.000 0.000
0.437 0.556 0.475
0.004 0.215 0.626
0.337 0.387 0.845
0.344 0.173 0.249
0.744 0.766 0.761
```

Summary:
Energy = -0.1241 hartree per atom
Spin magnetization = 0.0 Bohr magnetons per cell
Space group = No. 1
Theoretical density = 5.752 g/cm³

DFT (PBE) results for a relaxed structure of AcSm4Y5.

POSCAR file:
```
AcSm4Y5
1.0
8.740 -1.811 0.000
8.740 1.811 0.000
-0.112 0.000 11.246
Ac Sm Y
1 4 5
Direct
0.000 0.000 0.000
0.152 0.152 0.250
0.472 0.472 0.257
0.528 0.528 0.743
0.848 0.848 0.750
0.000 0.000 0.500
0.322 0.322 0.062
0.326 0.326 0.448
0.674 0.674 0.552
0.678 0.678 0.938
```

Summary:
Energy = -0.1954 hartree per atom
Energy relative to the elements = 0.212 eV per atom
Spin magnetization = 0.0 Bohr magnetons per cell
Space group = No. 12
Theoretical density = 5.938 g/cm³

DFT (PBE) results for a relaxed structure of B5C.

POSCAR file:
```
B5C
1.0
3.344 0.000 0.000
0.789 3.278 0.000
1.588 0.013 7.403
B C
10 2
Direct
0.056 0.373 0.099
0.278 0.865 0.727
0.295 0.603 0.246
0.334 0.417 0.451
0.397 0.122 0.906
0.603 0.878 0.094
0.666 0.583 0.549
0.705 0.397 0.754
0.722 0.135 0.273
0.944 0.627 0.901
0.054 0.138 0.569
0.946 0.862 0.431
```

Summary:
Energy = -0.2450 hartree per atom
Energy relative to the elements = 0.434 eV per atom
Spin magnetization = 0.0 Bohr magnetons per cell
Space group = No. 2
Theoretical density = 2.704 g/cm³

DFT (PBE) results for a relaxed structure of Pr6NdIn.

POSCAR file:
```
Pr6NdIn
1.0
4.588 2.649 3.752
-4.588 2.649 3.752
0.000 -5.298 3.752
Pr Nd In
6 1 1
Direct
0.000 0.257 0.500
0.000 0.743 0.500
0.257 0.500 0.000
0.500 0.000 0.257
0.500 0.000 0.743
0.743 0.500 0.000
0.000 0.000 0.000
0.500 0.500 0.500
```

Summary:
Energy = -0.1670 hartree per atom
Energy relative to the elements = -0.021 eV per atom
Spin magnetization = 0.0 Bohr magnetons per cell
Space group = No. 148
Theoretical density = 6.703 g/cm³

Question: Which of these has the highest spin magnetization?
Answer: LiCo2Ni9